No. 1
Compound: HfSbN2O
Source: the Alexandria database
Functional: PBE
Structure: relaxed

* crystal system: tetragonal
* E_tot: -7.022 eV per atom
* mass density: 8.97 g/cm3
* E_form (uncorrected): 115 meV per atom
* symmetry: No. 123

Geometry as POSCAR:
```
HfSbN2O
1.0
4.045 0.000 0.000
0.000 4.045 0.000
0.000 0.000 3.895
Hf Sb N O
1 1 2 1
Cartesian
0.000 0.000 0.000 Hf
2.023 2.023 1.947 Sb
0.000 2.023 1.947 N
2.023 0.000 1.947 N
2.023 2.023 0.000 O
```

No. 2
Compound: ScIrSCl2
Source: the Alexandria database
Functional: PBE
Structure: relaxed

* crystal system: tetragonal
* E_tot: -4.714 eV per atom
* mass density: 5.27 g/cm3
* ΔE to the lowest computed polymorph: 0.00 eV per formula unit
* E_form (uncorrected): -111 meV per atom
* symmetry: No. 123

Geometry as POSCAR:
```
ScIrSCl2
1.0
4.723 0.000 0.000
0.000 4.723 0.000
0.000 0.000 4.801
Sc Ir S Cl
1 1 1 2
Cartesian
0.000 0.000 0.000 Sc
2.362 2.362 2.401 Ir
2.362 2.362 0.000 S
0.000 2.362 2.401 Cl
2.362 0.000 2.401 Cl
```

No. 3
Compound: BaLaMnAg2
Source: the Alexandria database
Functional: PBE
Structure: relaxed

* crystal system: tetragonal
* E_tot: -3.829 eV per atom
* mass density: 5.11 g/cm3
* ΔE to the lowest computed polymorph: 1.69 eV per formula unit
* symmetry: No. 123

Geometry as POSCAR:
```
BaLaMnAg2
1.0
5.757 0.000 0.000
0.000 5.757 0.000
0.000 0.000 5.364
Ba La Mn Ag
1 1 1 2
Cartesian
0.000 0.000 0.000 Ba
2.878 2.878 2.682 La
2.878 2.878 0.000 Mn
0.000 2.878 2.682 Ag
2.878 0.000 2.682 Ag
```

No. 4
Compound: Ce5PtRh2
Source: the Alexandria database
Functional: PBE
Structure: relaxed

* crystal system: tetragonal
* E_tot: -6.937 eV per atom
* mass density: 9.97 g/cm3
* ΔE to the lowest computed polymorph: 0.00 eV per formula unit
* symmetry: No. 140

Geometry as POSCAR:
```
Ce5PtRh2
1.0
-4.009 4.009 5.709
4.009 -4.009 5.709
4.009 4.009 -5.709
Ce Pt Rh
10 2 4
Cartesian
0.000 0.000 0.000 Ce
5.300 1.291 -1.805 Ce
1.291 2.718 -1.805 Ce
5.300 1.291 1.805 Ce
1.291 2.718 1.805 Ce
0.000 0.000 5.709 Ce
2.718 1.291 3.904 Ce
-1.291 2.718 3.904 Ce
2.718 1.291 7.514 Ce
-1.291 2.718 7.514 Ce
0.000 0.000 2.854 Pt
0.000 0.000 8.563 Pt
2.934 1.075 0.000 Rh
2.934 -1.075 5.709 Rh
1.075 5.084 0.000 Rh
1.075 2.934 5.709 Rh
```

No. 5
Compound: Rb3SrI
Source: the Alexandria database
Functional: PBE
Structure: relaxed

* crystal system: cubic
* E_tot: -1.138 eV per atom
* mass density: 1.41 g/cm3
* ΔE to the lowest computed polymorph: 2.39 eV per formula unit
* E_form (uncorrected): 89 meV per atom
* symmetry: No. 221

Geometry as POSCAR:
```
Rb3SrI
1.0
8.223 0.000 0.000
0.000 8.223 0.000
0.000 0.000 8.223
Rb Sr I
3 1 1
Cartesian
0.000 0.000 4.111 Rb
0.000 4.111 0.000 Rb
4.111 0.000 0.000 Rb
0.000 0.000 0.000 Sr
4.111 4.111 4.111 I
```

Number 1: spin magnetization 0.35 μB per cell. Number 2: spin magnetization 0.61 μB per cell. Number 3: spin magnetization 3.42 μB per cell. Number 4: spin magnetization 1.89 μB per cell. Number 5: spin magnetization 1.92 μB per cell.